# 1
Below is a relaxed ReHgAu crystal, with properties calculated at the GGA-PBE level.

It has space group P3m1 (No. 156), with a = 2.9033 Å, b = 2.9033 Å, c = 7.2591 Å, α = 90.00°, β = 90.00° and γ = 120.00°. The distinct sites, in fractional coordinates, are Re at (0.0000, 0.0000, 0.0000), Hg at (0.3333, 0.6667, 0.6638) and Au at (0.6667, 0.3333, 0.3111).

The crystal system is trigonal. The calculation puts the formation energy at 591 meV/atom. The calculation puts the offset from the most stable computed form at 0.000 kcal/mol of atoms.


# 2
Below is a relaxed Ta2IrW crystal, with properties calculated at the GGA-PBE level.

It has space group P4/mmm (No. 123), with a = 4.472 Å, b = 4.472 Å, c = 3.337 Å, α = 90.00°, β = 90.00° and γ = 90.00°. The distinct sites, in fractional coordinates, are Ta at (0.000, 0.500, 0.000), Ir at (0.000, 0.000, 0.500) and W at (0.500, 0.500, 0.500).

The crystal system is tetragonal. The calculation puts the formation energy at -328 meV/atom. The calculation puts the offset from the most stable computed form at 0.000 kcal/mol of atoms.


# 3
Below is a relaxed Ba2MnBr crystal, with properties calculated at the GGA-PBE level.

It has space group P2/m (No. 10), with a = 4.034 Å, b = 4.043 Å, c = 8.897 Å, α = 90.00°, β = 90.47° and γ = 90.00°. The distinct sites, in fractional coordinates, are Ba at (0.002, 0.000, 0.235), Mn at (0.500, 0.500, 0.000) and Br at (0.500, 0.500, 0.500).

As for the uncorrected formation energy: -390 meV/atom. The crystal system is monoclinic. The calculation puts the offset from the most stable computed form at 0.489 kcal/mol of atoms.


# 4
Below is a relaxed CsSb2Br crystal, with properties calculated at the GGA-PBE level.

It has space group Fm-3m (No. 225), with a = 8.264 Å, b = 8.264 Å, c = 8.264 Å, α = 90.00°, β = 90.00° and γ = 90.00°. The distinct sites, in fractional coordinates, are Cs at (0.000, 0.000, 0.000), Sb at (0.250, 0.250, 0.250) and Br at (0.000, 0.000, 0.500).

As for the uncorrected formation energy: 385 meV/atom. The crystal system is cubic. The calculation puts the offset from the most stable computed form at 15.087 kcal/mol of atoms.


# 5
Below is a relaxed ZrIr2Au crystal, with properties calculated at the GGA-PBE level.

It has space group P4/mmm (No. 123), with a = 4.116 Å, b = 4.116 Å, c = 3.915 Å, α = 90.00°, β = 90.00° and γ = 90.00°. The distinct sites, in fractional coordinates, are Zr at (0.000, 0.000, 0.000), Ir at (0.000, 0.500, 0.500) and Au at (0.500, 0.500, 0.000).

The crystal system is tetragonal. The calculation puts the formation energy at -533 meV/atom. The calculation puts the offset from the most stable computed form at 0.000 kcal/mol of atoms.


# 6
Below is a relaxed ScGe4 crystal, with properties calculated at the GGA-PBE level.

It has space group Pm-3m (No. 221), with a = 5.088 Å, b = 5.088 Å, c = 5.088 Å, α = 90.00°, β = 90.00° and γ = 90.00°. The distinct sites, in fractional coordinates, are Sc at (0.000, 0.000, 0.000), Ge at (0.000, 0.000, 0.500) and Ge at (0.500, 0.500, 0.500).

The crystal system is cubic. The calculation puts the formation energy at 631 meV/atom.


# 7
Below is a relaxed BaNa2HgF crystal, with properties calculated at the GGA-PBE level.

It has space group P4/mmm (No. 123), with a = 4.921 Å, b = 4.921 Å, c = 5.683 Å, α = 90.00°, β = 90.00° and γ = 90.00°. The distinct sites, in fractional coordinates, are Ba at (0.000, 0.000, 0.000), Na at (0.000, 0.500, 0.500), Hg at (0.500, 0.500, 0.000) and F at (0.000, 0.000, 0.500).

As for the uncorrected formation energy: -1191 meV/atom. The crystal system is tetragonal.


# 8
Below is a relaxed FeNi2Se crystal, with properties calculated at the GGA-PBE level.

It has space group P4/mmm (No. 123), with a = 3.199 Å, b = 3.199 Å, c = 5.056 Å, α = 90.00°, β = 90.00° and γ = 90.00°. The distinct sites, in fractional coordinates, are Fe at (0.000, 0.000, 0.000), Ni at (0.500, 0.500, 0.239) and Se at (0.000, 0.000, 0.500).

As for the uncorrected formation energy: 83 meV/atom. The crystal system is tetragonal.


# 9
Below is a relaxed PmDy3Er crystal, with properties calculated at the GGA-PBE level.

It has space group P2_1/m (No. 11), with a = 6.285 Å, b = 5.659 Å, c = 9.603 Å, α = 90.00°, β = 109.07° and γ = 90.00°. The distinct sites, in fractional coordinates, are Pm at (0.068, 0.250, 0.300), Dy at (0.134, 0.750, 0.098), Dy at (0.268, 0.250, 0.702), Dy at (0.335, 0.750, 0.501) and Er at (0.467, 0.250, 0.099).

The crystal system is monoclinic. The calculation puts the formation energy at 13 meV/atom. The calculation puts the offset from the most stable computed form at 0.000 kcal/mol of atoms.


# 10
Below is a relaxed Pm3Dy4Ho3 crystal, with properties calculated at the GGA-PBE level.

It has space group Amm2 (No. 38), with a = 3.692 Å, b = 13.274 Å, c = 13.332 Å, α = 90.00°, β = 90.00° and γ = 90.00°. The distinct sites, in fractional coordinates, are Pm at (0.000, 0.000, 0.000), Pm at (0.000, 0.173, 0.672), Dy at (0.500, 0.000, 0.546), Dy at (0.500, 0.000, 0.799), Dy at (0.500, 0.125, 0.175), Ho at (0.000, 0.000, 0.346) and Ho at (0.500, 0.247, 0.421).

The crystal system is orthorhombic. The calculation puts the formation energy at 98 meV/atom.


# 11
Below is a relaxed Tb3Pm3HoS8 crystal, with properties calculated at the GGA-PBE level.

It has space group R-3m (No. 166, hexagonal axes), with a = 7.9130 Å, b = 7.9130 Å, c = 19.5512 Å, α = 90.00°, β = 90.00° and γ = 120.00°. The distinct sites, in fractional coordinates, are Tb at (0.0000, 0.5000, 0.0000), Pm at (0.0000, 0.5000, 0.5000), Ho at (0.0000, 0.0000, 0.0000), S at (0.0000, 0.0000, 0.2532) and S at (0.0010, 0.5005, 0.7466).

As for the uncorrected formation energy: -2062 meV/atom. The crystal system is trigonal.


# 12
Below is a relaxed Na3SnB2O6 crystal, with properties calculated at the GGA-PBE level.

It has space group P-3m1 (No. 164), with a = 5.2954 Å, b = 5.2954 Å, c = 6.3789 Å, α = 90.00°, β = 90.00° and γ = 120.00°. The distinct sites, in fractional coordinates, are Na at (0.0000, 0.0000, 0.0000), Na at (0.3333, 0.6667, 0.7740), Sn at (0.0000, 0.0000, 0.5000), B at (0.3333, 0.6667, 0.2700) and O at (0.1819, 0.3638, 0.2643).

As for the uncorrected formation energy: -1912 meV/atom. The crystal system is trigonal.


# 13
Below is a relaxed FeCu2SiP crystal, with properties calculated at the GGA-PBE level.

It has space group P4/mmm (No. 123), with a = 4.334 Å, b = 4.334 Å, c = 4.567 Å, α = 90.00°, β = 90.00° and γ = 90.00°. The distinct sites, in fractional coordinates, are Fe at (0.000, 0.000, 0.000), Cu at (0.000, 0.500, 0.500), Si at (0.500, 0.500, 0.500) and P at (0.500, 0.500, 0.000).

As for the uncorrected formation energy: 921 meV/atom. The crystal system is tetragonal.


DFT total energy readings, ordered: -4.75 -11.71 -4.06 -2.31 -7.92 -4.33 -2.54 -5.79 -4.61 -4.54 -6.44 -6.17 -4.58 eV/atom
Spin magnetization readings, ordered: 0.0000 0.0000 0.8340 0.0000 0.0000 0.0000 0.0000 1.0192 0.0000 0.0000 0.0000 0.0000 0.6299 μB per atom